Compound: PmGa4Pd2
Source: Alexandria via LeMat-Bulk
Functional: PBE
Structure: optimized geometry

The value obtained for the total magnetization is 0.00 μB per formula unit. The value obtained for the energy relative to the elements is -570 meV/atom. The relative energy among the computed polymorphs is 0.900 eV per formula unit.

Unit cell a=4.234 b=7.848 c=7.848 alpha=90.00 beta=90.00 gamma=90.00
Fractional coordinates of all 14 atoms:
Pm (0.500, 0.000, 0.000)
Pm (0.000, 0.500, 0.500)
Ga (0.000, 0.085, 0.332)
Ga (0.000, 0.915, 0.668)
Ga (0.500, 0.168, 0.585)
Ga (0.500, 0.832, 0.415)
Ga (0.500, 0.415, 0.832)
Ga (0.500, 0.585, 0.168)
Ga (0.000, 0.332, 0.085)
Ga (0.000, 0.668, 0.915)
Pd (0.000, 0.217, 0.783)
Pd (0.000, 0.783, 0.217)
Pd (0.500, 0.717, 0.717)
Pd (0.500, 0.283, 0.283)